1.
# LaHgIr | the Alexandria database | GGA-PBE | relaxed
# magnetic moment = 0.0 μB per formula unit
# calculated density = 10.34 Mg/m³
# formation energy = 115 meV per atom
# Fermi-level density of states = 0.327 states/eV per atom
# V = 341.7 Å³/cell
data_LaHgIr
_chemical_formula_sum 'La4 Hg4 Ir4'
_space_group_name_H-M_alt 'F -4 3 m'
_space_group_IT_number 216
_space_group_name_Hall 'F -4 2 3'
_cell_length_a 6.991
_cell_length_b 6.991
_cell_length_c 6.991
_cell_angle_alpha 90.00
_cell_angle_beta 90.00
_cell_angle_gamma 90.00
loop_
_atom_site_label
_atom_site_fract_x
_atom_site_fract_y
_atom_site_fract_z
_atom_site_occupancy
La1 0.000 0.000 0.000 1
Hg1 0.250 0.250 0.750 1
Ir1 0.250 0.250 0.250 1

2.
# ReNiSb3 | the Alexandria database | GGA-PBE | relaxed
# magnetic moment = 2.2 μB per formula unit
# calculated density = 8.74 Mg/m³
# energy relative to the elements, uncorrected = 1.10 eV/atom
# Fermi-level density of states = 0.888 states/eV per atom
# V = 116.0 Å³/cell
data_ReNiSb3
_chemical_formula_sum 'Re1 Ni1 Sb3'
_space_group_name_H-M_alt 'P m -3 m'
_space_group_IT_number 221
_space_group_name_Hall '-P 4 2 3'
_cell_length_a 4.877
_cell_length_b 4.877
_cell_length_c 4.877
_cell_angle_alpha 90.00
_cell_angle_beta 90.00
_cell_angle_gamma 90.00
loop_
_atom_site_label
_atom_site_fract_x
_atom_site_fract_y
_atom_site_fract_z
_atom_site_occupancy
Re1 0.000 0.000 0.000 1
Ni1 0.500 0.500 0.500 1
Sb1 0.000 0.500 0.500 1

3.
# In2TeP | the Alexandria database | GGA-PBE | relaxed
# magnetic moment = 0.0 μB per formula unit
# calculated density = 5.57 Mg/m³
# energy relative to the elements, uncorrected = 0.06 eV/atom
# Fermi-level density of states = 0.296 states/eV per atom
# V = 347.0 Å³/cell
data_In2TeP
_chemical_formula_sum 'In6 Te3 P3'
_space_group_name_H-M_alt 'R 3 m'
_space_group_IT_number 160
_space_group_name_Hall 'R 3 -2"'
_cell_length_a 4.2316
_cell_length_b 4.2316
_cell_length_c 22.3757
_cell_angle_alpha 90.00
_cell_angle_beta 90.00
_cell_angle_gamma 120.00
loop_
_atom_site_label
_atom_site_fract_x
_atom_site_fract_y
_atom_site_fract_z
_atom_site_occupancy
In1 0.0000 0.0000 0.0000 1
In2 0.0000 0.0000 0.2210 1
Te1 0.0000 0.0000 0.4842 1
P1 0.0000 0.0000 0.7013 1